Below is a relaxed structure of GdHo3In2, with properties calculated at the PBE level.

M_tot: 0.82 μB/f.u.
DFT total energy: -25.97 eV per formula unit
Density: 8700 kg/m³

Geometry as extended XYZ:
```
6
Lattice="-1.118 3.342 -4.066 -3.398 -3.992 1.213 -3.260 4.061 4.233" Properties=species:S:1:pos:R:3 pbc="T T T"
Gd -2.638 -1.547 -0.547
Ho -0.820 1.022 1.065
Ho -3.508 2.928 -0.190
Ho -2.439 3.039 3.168
In -1.878 0.897 -2.307
In -4.268 0.483 1.570
```

Below is a relaxed structure of Sm3Gd3Ga, with properties calculated at the PBE level.

M_tot: 0.16 μB/f.u.
DFT total energy: -31.98 eV per formula unit
Density: 7585 kg/m³

Geometry as extended XYZ:
```
14
Lattice="-4.401 5.116 -0.209 4.096 -3.885 3.704 13.532 11.523 -2.878" Properties=species:S:1:pos:R:3 pbc="T T T"
Ga 0.000 0.000 0.000
Ga 6.766 5.762 -1.439
Gd -0.583 2.958 0.885
Gd 0.870 5.997 -0.059
Gd 4.209 7.038 -0.134
Gd 9.017 5.716 0.752
Gd 12.357 6.758 0.677
Gd 13.810 9.797 -0.267
Sm 2.254 1.110 1.784
Sm 6.982 -0.477 2.756
Sm 5.834 4.159 1.022
Sm 7.392 8.596 -0.405
Sm 6.245 13.232 -2.138
Sm 10.972 11.644 -1.166
```

Below is a relaxed structure of AgOs2Pd, with properties calculated at the PBE level.

M_tot: 0.73 μB/f.u.
Formation energy from the elements: 0.732 eV per atom
Density: 16079 kg/m³

Geometry as extended XYZ:
```
4
Lattice="-0.370 -2.423 3.689 -2.569 -3.607 0.031 1.836 -4.025 0.199" Properties=species:S:1:pos:R:3 pbc="T T T"
Ag -0.552 -5.028 1.959
Os 0.000 0.000 0.000
Os -0.276 -2.514 0.980
Pd -0.828 -7.541 2.939
```

Below is a relaxed structure of LiTaFeSb, with properties calculated at the PBE level.

M_tot: 0.93 μB/f.u.
Energy above the lowest structure with this stoichiometry: 0 meV/atom
Density: 10379 kg/m³

Geometry as extended XYZ:
```
4
Lattice="-3.156 -0.437 2.971 -1.982 3.531 1.608 -4.135 0.855 -1.073" Properties=species:S:1:pos:R:3 pbc="T T T"
Fe -6.955 2.961 2.630
Li -2.318 0.987 0.877
Sb 0.000 0.000 0.000
Ta -4.637 1.974 1.753
```

Below is a relaxed structure of Dy2Y2Lu3Ni2Te2, with properties calculated at the PBE level.

M_tot: 0.00 μB/f.u.
Energy above the lowest structure with this stoichiometry: 17 meV/atom
Density: 8255 kg/m³

Geometry as extended XYZ:
```
11
Lattice="-1.912 7.731 4.764 1.912 -7.731 4.764 1.912 7.731 -4.764" Properties=species:S:1:pos:R:3 pbc="T T T"
Dy 0.000 2.265 7.121
Dy 1.912 5.466 2.357
Lu 1.912 -2.066 3.761
Lu 0.000 7.731 4.536
Lu 1.912 2.066 3.761
Ni 0.000 4.010 3.843
Ni 1.912 3.721 -0.921
Te 0.000 0.000 2.325
Te 0.000 7.731 1.309
Y 0.000 2.842 0.941
Y 0.000 12.620 0.941
```

Below is a relaxed structure of HfTaPd2, with properties calculated at the PBE level.

M_tot: 0.90 μB/f.u.
Formation energy from the elements: -0.191 eV per atom
Density: 14032 kg/m³

Geometry as extended XYZ:
```
4
Lattice="0.000 3.235 3.235 3.235 0.000 3.235 3.235 3.235 0.000" Properties=species:S:1:pos:R:3 pbc="T T T"
Hf 1.618 1.618 1.618
Pd 0.000 0.000 0.000
Pd 4.853 4.853 4.853
Ta 3.235 3.235 3.235
```

The lowest M_tot belongs to which entry? Dy2Y2Lu3Ni2Te2